# 1
RbNaGaSn | PBE | relaxed

Unit cell a=5.504 b=5.504 c=5.504 alpha=60.00 beta=60.00 gamma=60.00
Fractional positions:
Rb (0.000, 0.000, 0.000)
Na (0.750, 0.750, 0.750)
Ga (0.250, 0.250, 0.250)
Sn (0.500, 0.500, 0.500)

Properties
E_tot, eV/atom: -2.331
Energy relative to the elements, meV per atom: -2
Symmetry: No. 216



# 2
RbNaGa2Sn2 | PBE | relaxed

Unit cell a=4.600 b=4.600 c=10.438 alpha=90.00 beta=90.00 gamma=120.00
Fractional positions:
Rb (0.000, 0.000, 0.000)
Na (0.000, 0.000, 0.500)
Ga (0.333, 0.667, 0.687)
Ga (0.667, 0.333, 0.313)
Sn (0.333, 0.667, 0.271)
Sn (0.667, 0.333, 0.729)

Properties
E_tot, eV/atom: -2.882
Energy relative to the elements, meV per atom: -158
Symmetry: No. 164